Entry 1:
# V2CrB | Alexandria | PBE-GGA | optimized geometry
# - Density of states at the Fermi level: 4.4 states/eV/f.u.
# - ΔH_f (0 K): -0.073 eV per atom
# - E_tot: -8.707 eV per atom
data_V2CrB
_chemical_formula_sum 'V2 Cr1 B1'
_cell_length_a 3.774
_cell_length_b 3.774
_cell_length_c 3.048
_cell_angle_alpha 90.00
_cell_angle_beta 90.00
_cell_angle_gamma 90.00
_space_group_name_H-M_alt 'P 4/m m m'
_space_group_IT_number 123
_space_group_name_Hall '-P 4 2'
loop_
_atom_site_label
_atom_site_type_symbol
_atom_site_fract_x
_atom_site_fract_y
_atom_site_fract_z
V1 V 0.000 0.500 0.000
Cr1 Cr 0.000 0.000 0.500
B1 B 0.500 0.500 0.500

***

Entry 2:
# VCrB2 | Alexandria | PBE-GGA | optimized geometry
# - Density of states at the Fermi level: 2.4 states/eV/f.u.
# - ΔH_f (0 K): 0.070 eV per atom
# - E_tot: -7.954 eV per atom
# - E above lowest polymorph: 763 meV/atom
data_VCrB2
_chemical_formula_sum 'V4 Cr4 B8'
_cell_length_a 5.232
_cell_length_b 5.232
_cell_length_c 5.232
_cell_angle_alpha 90.00
_cell_angle_beta 90.00
_cell_angle_gamma 90.00
_space_group_name_H-M_alt 'F m -3 m'
_space_group_IT_number 225
_space_group_name_Hall '-F 4 2 3'
loop_
_atom_site_label
_atom_site_type_symbol
_atom_site_fract_x
_atom_site_fract_y
_atom_site_fract_z
V1 V 0.000 0.000 0.000
Cr1 Cr 0.000 0.000 0.500
B1 B 0.250 0.250 0.250

***

Entry 3:
# VCrB2 | Alexandria | PBE-GGA | optimized geometry
# - Density of states at the Fermi level: 2.5 states/eV/f.u.
# - ΔH_f (0 K): -0.693 eV per atom
# - E_tot: -8.717 eV per atom
# - E above lowest polymorph: 0 meV/atom
data_VCrB2
_chemical_formula_sum 'V2 Cr2 B4'
_cell_length_a 2.934
_cell_length_b 2.995
_cell_length_c 7.922
_cell_angle_alpha 90.00
_cell_angle_beta 90.00
_cell_angle_gamma 90.00
_space_group_name_H-M_alt 'A m m 2'
_space_group_IT_number 38
_space_group_name_Hall 'A 2 -2'
loop_
_atom_site_label
_atom_site_type_symbol
_atom_site_fract_x
_atom_site_fract_y
_atom_site_fract_z
V1 V 0.000 0.000 0.000
Cr1 Cr 0.500 0.000 0.706
B1 B 0.000 0.000 0.289
B2 B 0.500 0.000 0.415

***

Entry 4:
# V4CrB2 | Alexandria | PBE-GGA | optimized geometry
# - Density of states at the Fermi level: 4.7 states/eV/f.u.
# - ΔH_f (0 K): -0.072 eV per atom
# - E_tot: -8.565 eV per atom
data_V4CrB2
_chemical_formula_sum 'V12 Cr3 B6'
_cell_length_a 3.8721
_cell_length_b 3.8721
_cell_length_c 18.7950
_cell_angle_alpha 90.00
_cell_angle_beta 90.00
_cell_angle_gamma 120.00
_space_group_name_H-M_alt 'R -3 m'
_space_group_IT_number 166
_space_group_name_Hall '-R 3 2"'
loop_
_atom_site_label
_atom_site_type_symbol
_atom_site_fract_x
_atom_site_fract_y
_atom_site_fract_z
V1 V 0.0000 0.0000 0.1135
V2 V 0.0000 0.0000 0.2809
Cr1 Cr 0.0000 0.0000 0.5000
B1 B 0.0000 0.0000 0.3938

***

Entry 5:
# VCrB2 | Alexandria | PBE-GGA | optimized geometry
# - Density of states at the Fermi level: 2.2 states/eV/f.u.
# - ΔH_f (0 K): -0.471 eV per atom
# - E_tot: -8.495 eV per atom
# - E above lowest polymorph: 222 meV/atom
data_VCrB2
_chemical_formula_sum 'V4 Cr4 B8'
_cell_length_a 6.093
_cell_length_b 2.939
_cell_length_c 8.105
_cell_angle_alpha 90.00
_cell_angle_beta 90.00
_cell_angle_gamma 90.00
_space_group_name_H-M_alt 'P n m a'
_space_group_IT_number 62
_space_group_name_Hall '-P 2ac 2n'
loop_
_atom_site_label
_atom_site_type_symbol
_atom_site_fract_x
_atom_site_fract_y
_atom_site_fract_z
V1 V 0.137 0.250 0.130
Cr1 Cr 0.014 0.750 0.393
B1 B 0.153 0.250 0.831
B2 B 0.237 0.750 0.924

***

Entry 6:
# V2CrB | Alexandria | PBE-GGA | optimized geometry
# - Density of states at the Fermi level: 3.8 states/eV/f.u.
# - ΔH_f (0 K): -0.008 eV per atom
# - E_tot: -8.643 eV per atom
data_V2CrB
_chemical_formula_sum 'V6 Cr3 B3'
_cell_length_a 2.8958
_cell_length_b 2.8958
_cell_length_c 18.8894
_cell_angle_alpha 90.00
_cell_angle_beta 90.00
_cell_angle_gamma 120.00
_space_group_name_H-M_alt 'R -3 m'
_space_group_IT_number 166
_space_group_name_Hall '-R 3 2"'
loop_
_atom_site_label
_atom_site_type_symbol
_atom_site_fract_x
_atom_site_fract_y
_atom_site_fract_z
V1 V 0.0000 0.0000 0.2345
Cr1 Cr 0.0000 0.0000 0.0000
B1 B 0.0000 0.0000 0.5000

***

Entry 7:
# VCr2B4 | Alexandria | PBE-GGA | optimized geometry
# - Density of states at the Fermi level: 5.1 states/eV/f.u.
# - ΔH_f (0 K): 0.843 eV per atom
# - E_tot: -7.025 eV per atom
# - E above lowest polymorph: 1464 meV/atom
data_VCr2B4
_chemical_formula_sum 'V2 Cr4 B8'
_cell_length_a 3.759
_cell_length_b 3.759
_cell_length_c 10.741
_cell_angle_alpha 90.00
_cell_angle_beta 90.00
_cell_angle_gamma 90.00
_space_group_name_H-M_alt 'I 4/m m m'
_space_group_IT_number 139
_space_group_name_Hall '-I 4 2'
loop_
_atom_site_label
_atom_site_type_symbol
_atom_site_fract_x
_atom_site_fract_y
_atom_site_fract_z
V1 V 0.000 0.000 0.000
Cr1 Cr 0.000 0.000 0.377
B1 B 0.000 0.000 0.191
B2 B 0.000 0.500 0.000

***

Entry 8:
# VCrB3 | Alexandria | PBE-GGA | optimized geometry
# - Density of states at the Fermi level: 3.4 states/eV/f.u.
# - ΔH_f (0 K): 1.160 eV per atom
# - E_tot: -6.595 eV per atom
data_VCrB3
_chemical_formula_sum 'V1 Cr1 B3'
_cell_length_a 3.891
_cell_length_b 3.891
_cell_length_c 3.891
_cell_angle_alpha 90.00
_cell_angle_beta 90.00
_cell_angle_gamma 90.00
_space_group_name_H-M_alt 'P m -3 m'
_space_group_IT_number 221
_space_group_name_Hall '-P 4 2 3'
loop_
_atom_site_label
_atom_site_type_symbol
_atom_site_fract_x
_atom_site_fract_y
_atom_site_fract_z
V1 V 0.000 0.000 0.000
Cr1 Cr 0.500 0.500 0.500
B1 B 0.000 0.000 0.500

***

Entry 9:
# VCr2B4 | Alexandria | PBE-GGA | optimized geometry
# - Density of states at the Fermi level: 3.9 states/eV/f.u.
# - ΔH_f (0 K): -0.621 eV per atom
# - E_tot: -8.489 eV per atom
# - E above lowest polymorph: 0 meV/atom
data_VCr2B4
_chemical_formula_sum 'V2 Cr4 B8'
_cell_length_a 2.949
_cell_length_b 2.959
_cell_length_c 13.042
_cell_angle_alpha 90.00
_cell_angle_beta 90.00
_cell_angle_gamma 90.00
_space_group_name_H-M_alt 'I m m m'
_space_group_IT_number 71
_space_group_name_Hall '-I 2 2'
loop_
_atom_site_label
_atom_site_type_symbol
_atom_site_fract_x
_atom_site_fract_y
_atom_site_fract_z
V1 V 0.000 0.000 0.000
Cr1 Cr 0.000 0.500 0.313
B1 B 0.000 0.000 0.433
B2 B 0.000 0.500 0.140

***

Entry 10:
# V8CrB2 | Alexandria | PBE-GGA | optimized geometry
# - Density of states at the Fermi level: 9.4 states/eV/f.u.
# - ΔH_f (0 K): -0.100 eV per atom
# - E_tot: -8.820 eV per atom
data_V8CrB2
_chemical_formula_sum 'V16 Cr2 B4'
_cell_length_a 6.683
_cell_length_b 9.526
_cell_length_c 4.358
_cell_angle_alpha 90.00
_cell_angle_beta 105.42
_cell_angle_gamma 90.00
_space_group_name_H-M_alt 'C 1 2/m 1'
_space_group_IT_number 12
_space_group_name_Hall '-C 2y'
loop_
_atom_site_label
_atom_site_type_symbol
_atom_site_fract_x
_atom_site_fract_y
_atom_site_fract_z
V1 V 0.000 0.233 0.000
V2 V 0.116 0.500 0.812
V3 V 0.208 0.125 0.590
Cr1 Cr 0.000 0.000 0.000
B1 B 0.000 0.311 0.500

***

Entry 11:
# VCrB3 | Alexandria | PBE-GGA | optimized geometry
# - Density of states at the Fermi level: 1.4 states/eV/f.u.
# - ΔH_f (0 K): 0.807 eV per atom
# - E_tot: -6.948 eV per atom
data_VCrB3
_chemical_formula_sum 'V1 Cr1 B3'
_cell_length_a 3.761
_cell_length_b 3.761
_cell_length_c 3.761
_cell_angle_alpha 90.00
_cell_angle_beta 90.00
_cell_angle_gamma 90.00
_space_group_name_H-M_alt 'P m -3 m'
_space_group_IT_number 221
_space_group_name_Hall '-P 4 2 3'
loop_
_atom_site_label
_atom_site_type_symbol
_atom_site_fract_x
_atom_site_fract_y
_atom_site_fract_z
V1 V 0.000 0.000 0.000
Cr1 Cr 0.500 0.500 0.500
B1 B 0.000 0.500 0.500

***

Entry 12:
# VCr3B | Alexandria | PBE-GGA | optimized geometry
# - Density of states at the Fermi level: 6.9 states/eV/f.u.
# - ΔH_f (0 K): 2.008 eV per atom
# - E_tot: -6.925 eV per atom
# - E above lowest polymorph: 1750 meV/atom
data_VCr3B
_chemical_formula_sum 'V1 Cr3 B1'
_cell_length_a 4.154
_cell_length_b 4.154
_cell_length_c 4.154
_cell_angle_alpha 90.00
_cell_angle_beta 90.00
_cell_angle_gamma 90.00
_space_group_name_H-M_alt 'P m -3 m'
_space_group_IT_number 221
_space_group_name_Hall '-P 4 2 3'
loop_
_atom_site_label
_atom_site_type_symbol
_atom_site_fract_x
_atom_site_fract_y
_atom_site_fract_z
V1 V 0.000 0.000 0.000
Cr1 Cr 0.000 0.000 0.500
B1 B 0.500 0.500 0.500